1.
The following is a PBE calculation of LaNi5Sb3 after structural relaxation, from Alexandria.

* SG: Cmcm, No. 63
* VASP energy: -99.9 eV for the cell shown
* N(E_F): 12.999 states/eV per cell
* formation energy without anion corrections: -3.7 eV/f.u.
* V: 17.9 Å³/atom

Lattice parameters (Å, degrees): 6.7389 6.7389 12.3470 90.00 90.00 144.86
With the nearest neighbours (Å) after each atom.
Fractional positions:
La (0.1836, 0.8164, 0.7500)  7 Sb 3.35-3.59, 6 Ni 3.46-3.76
La (0.8164, 0.1836, 0.2500)  7 Sb 3.35-3.59, 6 Ni 3.46-3.76
Ni (0.0000, 0.0000, 0.0000)  6 Ni 2.52-2.76, 4 Sb 2.65
Ni (0.0000, 0.0000, 0.5000)  6 Ni 2.52-2.76, 4 Sb 2.65
Ni (0.1844, 0.8156, 0.0700)  4 Sb 2.46-2.57, 1 Ni 2.52
Ni (0.1844, 0.8156, 0.4300)  4 Sb 2.46-2.57, 1 Ni 2.52
Ni (0.4579, 0.5421, 0.6446)  4 Sb 2.51-2.55, 3 Ni 2.60-2.76
Ni (0.4579, 0.5421, 0.8554)  4 Sb 2.51-2.55, 3 Ni 2.60-2.76
Ni (0.5421, 0.4579, 0.1446)  4 Sb 2.51-2.55, 3 Ni 2.60-2.76
Ni (0.5421, 0.4579, 0.3554)  4 Sb 2.51-2.55, 3 Ni 2.60-2.76
Ni (0.8156, 0.1844, 0.5700)  4 Sb 2.46-2.57, 1 Ni 2.52
Ni (0.8156, 0.1844, 0.9300)  4 Sb 2.46-2.57, 1 Ni 2.52
Sb (0.0961, 0.9039, 0.2500)  6 Ni 2.50-2.51
Sb (0.3737, 0.6263, 0.0423)  7 Ni 2.46-2.65
Sb (0.3737, 0.6263, 0.4577)  7 Ni 2.46-2.65
Sb (0.6263, 0.3737, 0.5423)  7 Ni 2.46-2.65
Sb (0.6263, 0.3737, 0.9577)  7 Ni 2.46-2.65
Sb (0.9039, 0.0961, 0.7500)  6 Ni 2.50-2.51

2.
The following is a PBE calculation of Sm4Er3Tm2 after structural relaxation, from Alexandria.

* SG: C2/c, No. 15
* VASP energy: -81.3 eV for the cell shown
* ΔE_f: 0.094 eV per atom
* N(E_F): 24.452 states/eV per cell
* V: 31.7 Å³/atom

Lattice parameters (Å, degrees): 10.1539 10.1539 5.9535 95.92 95.92 69.77
With the nearest neighbours (Å) after each atom.
Fractional positions:
Sm (0.0472, 0.8246, 0.9535)  3 Sm 3.35-3.45, 4 Er 3.38-3.52, 1 Tm 3.62
Sm (0.1631, 0.3827, 0.1152)  2 Tm 3.26-3.40, 4 Er 3.38-3.50, 2 Sm 3.45-3.58
Sm (0.1754, 0.9528, 0.5465)  3 Sm 3.35-3.45, 4 Er 3.38-3.52, 1 Tm 3.62
Sm (0.3827, 0.1631, 0.6152)  2 Tm 3.26-3.40, 4 Er 3.38-3.50, 2 Sm 3.45-3.58
Sm (0.6173, 0.8369, 0.3848)  2 Tm 3.26-3.40, 4 Er 3.38-3.50, 2 Sm 3.45-3.58
Sm (0.8246, 0.0472, 0.4535)  3 Sm 3.35-3.45, 4 Er 3.38-3.52, 1 Tm 3.62
Sm (0.8369, 0.6173, 0.8848)  2 Tm 3.26-3.40, 4 Er 3.38-3.50, 2 Sm 3.45-3.58
Sm (0.9528, 0.1754, 0.0465)  3 Sm 3.35-3.45, 4 Er 3.38-3.52, 1 Tm 3.62
Er (0.0167, 0.3211, 0.5806)  7 Sm 3.38-3.52, 1 Tm 3.39, 1 Er 3.75
Er (0.3211, 0.0167, 0.0806)  7 Sm 3.38-3.52, 1 Tm 3.39, 1 Er 3.75
Er (0.3497, 0.6503, 0.2500)  2 Sm 3.38, 6 Tm 3.41-3.51
Er (0.6503, 0.3497, 0.7500)  2 Sm 3.38, 6 Tm 3.41-3.51
Er (0.6789, 0.9833, 0.9194)  7 Sm 3.38-3.52, 1 Tm 3.39, 1 Er 3.75
Er (0.9833, 0.6789, 0.4194)  7 Sm 3.38-3.52, 1 Tm 3.39, 1 Er 3.75
Tm (0.2915, 0.5041, 0.7045)  3 Sm 3.26-3.62, 1 Tm 3.38, 4 Er 3.39-3.51
Tm (0.4959, 0.7085, 0.7955)  3 Sm 3.26-3.62, 1 Tm 3.38, 4 Er 3.39-3.51
Tm (0.5041, 0.2915, 0.2045)  3 Sm 3.26-3.62, 1 Tm 3.38, 4 Er 3.39-3.51
Tm (0.7085, 0.4959, 0.2955)  3 Sm 3.26-3.62, 1 Tm 3.38, 4 Er 3.39-3.51

3.
The following is a PBE calculation of TiGaN2O after structural relaxation, from Alexandria.

* SG: P4/mmm, No. 123
* VASP energy: -31.6 eV for the cell shown
* N(E_F): 2.875 states/eV per cell
* formation energy without anion corrections: 0.9 eV/f.u.
* V: 10.8 Å³/atom

Lattice parameters (Å, degrees): 3.7837 3.7837 3.7605 90.00 90.00 90.00
With the nearest neighbours (Å) after each atom.
Fractional positions:
Ti (0.0000, 0.0000, 0.0000)  8 N 2.67, 4 O 2.68
Ga (0.5000, 0.5000, 0.5000)  2 O 1.88, 4 N 1.89
N (0.0000, 0.5000, 0.5000)  2 Ga 1.89
N (0.5000, 0.0000, 0.5000)  2 Ga 1.89
O (0.5000, 0.5000, 0.0000)  2 Ga 1.88